Below is Tl3BiCl6 after structural relaxation, with properties calculated at the PBE level.

```
20
Lattice="7.546 0.000 0.000 0.000 8.261 0.000 -7.157 0.000 11.022" Properties=species:S:1:pos:R:3 pbc="T T T"
Tl 0.000 0.000 0.000
Tl -3.578 4.131 5.511
Tl -3.694 0.596 8.165
Tl -0.116 3.535 2.654
Tl 0.505 4.727 8.369
Tl 4.083 7.665 2.857
Bi 0.195 0.000 5.511
Bi 3.773 4.131 0.000
Cl -2.089 1.402 4.958
Cl -5.668 2.729 10.469
Cl -1.049 5.961 4.672
Cl -4.627 6.431 10.183
Cl 1.098 0.493 2.970
Cl -2.480 3.638 8.481
Cl 2.869 4.624 2.541
Cl -0.709 7.769 8.052
Cl 5.016 1.830 0.839
Cl 1.438 2.301 6.350
Cl 6.057 5.532 0.553
Cl 2.479 6.860 6.064
```

## Properties
Formation energy from raw total energies, kcal/mol of atoms: -24.03
Calculated density, g/cm3: 5.00
Total magnetic moment, μB per formula unit: 0.00
Space group: P2_1/c, No. 14
D(E_F), states/eV per cell: 0.0
Crystal system: monoclinic